# 1
VASP calculation (PBE) on a geometry-optimized MoIrPtBr2 structure.

Summary:
The space group is P4/mmm, No. 123. As for the electronic total energy: -20.29 eV for the cell shown. As for the crystal system: tetragonal. For the formation energy (no corrections), the calculation gives 1.757 eV per atom.

Unit cell a=4.8782 b=5.3605 c=4.8782 alpha=90.00 beta=90.00 gamma=90.00
Each line ends with the local moment (μB).
Fractional coordinates of all 5 atoms:
Mo1 0.0000 0.5000 0.0000  3.12
Ir1 0.5000 0.5000 0.5000  -0.26
Br1 0.0000 0.0000 0.5000  0.01
Br2 0.5000 0.0000 0.0000  -0.01
Pt1 0.0000 0.0000 0.0000  0.08

***

# 2
VASP calculation (PBE) on a geometry-optimized Rb2MoIrBr6 structure.

Summary:
The space group is I4/mmm, No. 139. As for the electronic total energy: -37.76 eV for the cell shown. As for the crystal system: tetragonal. For the formation energy (no corrections), the calculation gives -0.609 eV per atom.

Unit cell a=7.5209 b=7.5209 c=7.5265 alpha=60.02 beta=60.02 gamma=90.00
Each line ends with the local moment (μB).
Fractional coordinates of all 10 atoms:
Mo1 0.5000 0.5000 0.0000  2.96
Ir1 0.0000 0.0000 0.0000  0.90
Br1 0.2472 0.2472 0.5055  0.04
Br2 0.7528 0.7528 0.4945  0.04
Br3 0.2468 0.2468 0.0000  0.04
Br4 0.7532 0.7532 0.0000  0.04
Br5 0.7532 0.2468 0.0000  0.04
Br6 0.2468 0.7532 0.0000  0.04
Rb1 0.7500 0.2500 0.5000  0.00
Rb2 0.2500 0.7500 0.5000  0.00

***

# 3
VASP calculation (PBE) on a geometry-optimized MoIrSe2Br structure.

Summary:
The space group is P4/mmm, No. 123. As for the electronic total energy: -23.44 eV for the cell shown. As for the crystal system: tetragonal. The calculation puts the energy above the most stable polymorph in this dataset at 0 meV/atom. For the formation energy (no corrections), the calculation gives 0.979 eV per atom.

Unit cell a=4.9385 b=4.9385 c=4.9904 alpha=90.00 beta=90.00 gamma=90.00
Each line ends with the local moment (μB).
Fractional coordinates of all 5 atoms:
Mo1 0.5000 0.5000 0.5000  3.57
Ir1 0.0000 0.0000 0.0000  -0.34
Se1 0.0000 0.5000 0.0000  -0.28
Se2 0.5000 0.0000 0.0000  -0.28
Br1 0.0000 0.0000 0.5000  0.04

***

# 4
VASP calculation (PBE) on a geometry-optimized Sn2MoIrBr structure.

Summary:
The space group is P4/mmm, No. 123. As for the electronic total energy: -26.39 eV for the cell shown. As for the crystal system: tetragonal. For the formation energy (no corrections), the calculation gives 0.597 eV per atom.

Unit cell a=5.1372 b=5.2042 c=5.1372 alpha=90.00 beta=90.00 gamma=90.00
Each line ends with the local moment (μB).
Fractional coordinates of all 5 atoms:
Mo1 0.0000 0.5000 0.0000  3.05
Ir1 0.0000 0.0000 0.0000  0.01
Sn1 0.0000 0.0000 0.5000  -0.02
Sn2 0.5000 0.0000 0.0000  0.01
Br1 0.5000 0.5000 0.5000  0.07

***

# 5
VASP calculation (PBE) on a geometry-optimized SrMoIr2Br structure.

Summary:
The space group is P4/mmm, No. 123. As for the electronic total energy: -30.11 eV for the cell shown. As for the crystal system: tetragonal. For the formation energy (no corrections), the calculation gives 0.360 eV per atom.

Unit cell a=4.7849 b=5.3217 c=4.7849 alpha=90.00 beta=90.00 gamma=90.00
Fractional coordinates of all 5 atoms:
Sr1 0.5000 0.5000 0.5000
Mo1 0.0000 0.0000 0.0000
Ir1 0.0000 0.0000 0.5000
Ir2 0.5000 0.0000 0.0000
Br1 0.0000 0.5000 0.0000

***

# 6
VASP calculation (PBE) on a geometry-optimized TiMoIr2Br structure.

Summary:
The space group is P4/mmm, No. 123. As for the electronic total energy: -30.81 eV for the cell shown. As for the crystal system: tetragonal. For the formation energy (no corrections), the calculation gives 1.462 eV per atom.

Unit cell a=4.6277 b=4.4783 c=4.6277 alpha=90.00 beta=90.00 gamma=90.00
Each line ends with the local moment (μB).
Fractional coordinates of all 5 atoms:
Mo1 0.5000 0.5000 0.5000  2.42
Ir1 0.0000 0.0000 0.5000  0.15
Ir2 0.5000 0.0000 0.0000  0.09
Br1 0.0000 0.0000 0.0000  0.03
Ti1 0.0000 0.5000 0.0000  -0.18